Entry from Alexandria: crystalline ScCo2Ag2 at its relaxed geometry (PBE).

Unit cell a=3.471 b=3.471 c=7.388 alpha=76.41 beta=76.41 gamma=90.00
Site moments in Bohr magnetons follow the coordinates.
Atoms (fractional coordinates):
1 Sc 0.000 0.000 0.000  -0.04
2 Co 0.250 0.750 0.500  1.80
3 Ag 0.396 0.396 0.208  -0.01
4 Co 0.750 0.250 0.500  1.80
5 Ag 0.604 0.604 0.792  -0.01

Calculated values
DOS at the Fermi energy   1.09 states/eV/atom
ΔH_f (0 K)   0.25 eV/atom
Volume   84 Å³ per cell
Total magnetic moment   3.41 μB per formula unit
E_tot   -24.98 eV for the cell shown
Symmetry   No. 139

=====

Entry from Alexandria: crystalline Pu6MnRh2 at its relaxed geometry (PBE).

Unit cell a=2.771 b=7.726 c=7.726 alpha=120.00 beta=90.00 gamma=90.00
Atoms (fractional coordinates):
1 Pu 0.086 0.998 0.313
2 Rh 0.506 0.333 0.667
3 Pu 0.914 0.002 0.687
4 Pu 0.914 0.685 0.998
5 Pu 0.914 0.313 0.315
6 Pu 0.086 0.315 0.002
7 Pu 0.086 0.687 0.685
8 Rh 0.494 0.667 0.333
9 Mn 0.500 0.000 0.000

Calculated values
ΔH_f (0 K)   0.08 eV/atom
Volume   143 Å³ per cell
Total magnetic moment   0.00 μB per formula unit
E_tot   -109.17 eV for the cell shown
Symmetry   No. 147

=====

Entry from Alexandria: crystalline AcCdPF at its relaxed geometry (PBE).

Unit cell a=5.001 b=5.001 c=5.001 alpha=60.00 beta=60.00 gamma=60.00
Atoms (fractional coordinates):
1 Cd 0.000 0.000 0.000
2 P 0.250 0.250 0.250
3 Ac 0.500 0.500 0.500
4 F 0.750 0.750 0.750

Calculated values
DOS at the Fermi energy   1.03 states/eV/atom
ΔE_f (raw)   -1405 meV/atom
Volume   88 Å³ per cell
Total magnetic moment   0.00 μB per formula unit
E_tot   -17.93 eV for the cell shown
Symmetry   No. 216

=====

Entry from Alexandria: crystalline PrY3Tm2Bi6 at its relaxed geometry (PBE).

Unit cell a=7.787 b=7.787 c=7.784 alpha=99.61 beta=99.61 gamma=120.02
Atoms (fractional coordinates):
1 Bi 0.084 0.426 0.252
2 Bi 0.259 0.259 0.752
3 Bi 0.916 0.574 0.748
4 Y 0.837 0.163 0.500
5 Tm 0.332 0.668 0.000
6 Tm 0.668 0.332 0.000
7 Y 0.500 0.500 0.500
8 Bi 0.574 0.916 0.748
9 Pr 0.000 0.000 0.000
10 Bi 0.426 0.084 0.252
11 Y 0.163 0.837 0.500
12 Bi 0.741 0.741 0.248

Calculated values
DOS at the Fermi energy   0.19 states/eV/atom
ΔH_f (0 K)   -0.86 eV/atom
Volume   385 Å³ per cell
Total magnetic moment   0.00 μB per formula unit
E_tot   -66.76 eV for the cell shown
Symmetry   No. 12

=====

Entry from Alexandria: crystalline BeAlCl2 at its relaxed geometry (PBE).

Unit cell a=3.213 b=5.800 c=4.016 alpha=90.00 beta=90.00 gamma=90.00
Atoms (fractional coordinates):
1 Be 0.000 0.500 0.500
2 Cl 0.000 0.000 0.000
3 Al 0.500 0.000 0.500
4 Cl 0.500 0.500 0.000

Calculated values
DOS at the Fermi energy   0.41 states/eV/atom
ΔE_f (raw)   151 meV/atom
Volume   75 Å³ per cell
Total magnetic moment   0.00 μB per formula unit
E_tot   -10.56 eV for the cell shown
Symmetry   No. 47

=====

Entry from Alexandria: crystalline Ba2RhPb at its relaxed geometry (PBE).

Unit cell a=3.703 b=3.703 c=9.591 alpha=90.00 beta=90.00 gamma=90.00
Atoms (fractional coordinates):
1 Ba 0.000 0.000 0.295
2 Pb 0.500 0.500 0.000
3 Rh 0.500 0.500 0.500
4 Ba 0.000 0.000 0.705

Calculated values
DOS at the Fermi energy   0.65 states/eV/atom
ΔH_f (0 K)   -0.20 eV/atom
Volume   131 Å³ per cell
Total magnetic moment   0.00 μB per formula unit
E_tot   -15.69 eV for the cell shown
Symmetry   No. 123

=====

Entry from Alexandria: crystalline AcPmBi at its relaxed geometry (PBE).

Unit cell a=4.274 b=4.274 c=6.543 alpha=109.06 beta=109.06 gamma=90.00
Atoms (fractional coordinates):
1 Pm 0.974 0.974 0.947
2 Bi 0.600 0.600 0.199
3 Ac 0.277 0.277 0.553

Calculated values
DOS at the Fermi energy   1.30 states/eV/atom
ΔH_f (0 K)   -0.49 eV/atom
Volume   106 Å³ per cell
Total magnetic moment   0.16 μB per formula unit
E_tot   -14.22 eV for the cell shown
Symmetry   No. 107

=====

Entry from Alexandria: crystalline HgSbOs at its relaxed geometry (PBE).

Unit cell a=3.200 b=3.200 c=7.190 alpha=90.00 beta=90.00 gamma=120.00
Atoms (fractional coordinates):
1 Hg 0.000 0.000 0.035
2 Os 0.667 0.333 0.350
3 Sb 0.333 0.667 0.615

Calculated values
DOS at the Fermi energy   0.36 states/eV/atom
ΔE_f (raw)   534 meV/atom
Volume   64 Å³ per cell
Total magnetic moment   0.00 μB per formula unit
E_tot   -14.05 eV for the cell shown
Symmetry   No. 156

=====

Entry from Alexandria: crystalline NaErC at its relaxed geometry (PBE).

Unit cell a=4.207 b=3.260 c=8.477 alpha=101.09 beta=104.37 gamma=90.00
Atoms (fractional coordinates):
1 Er 0.184 0.684 0.369
2 C 0.331 0.831 0.661
3 Er 0.816 0.316 0.631
4 Na 0.261 0.500 0.000
5 C 0.669 0.169 0.339
6 Na 0.739 0.500 0.000

Calculated values
DOS at the Fermi energy   0.53 states/eV/atom
ΔH_f (0 K)   0.74 eV/atom
Volume   110 Å³ per cell
Total magnetic moment   0.00 μB per formula unit
E_tot   -25.75 eV for the cell shown
Symmetry   No. 71

=====

Entry from Alexandria: crystalline MgCr2GaS at its relaxed geometry (PBE).

Unit cell a=4.319 b=5.074 c=4.319 alpha=90.00 beta=90.00 gamma=90.00
Site moments in Bohr magnetons follow the coordinates.
Atoms (fractional coordinates):
1 Mg 0.500 0.500 0.500  -0.04
2 S 0.000 0.000 0.000  -0.11
3 Ga 0.000 0.500 0.000  -0.04
4 Cr 0.500 0.000 0.000  2.46
5 Cr 0.000 0.000 0.500  2.60

Calculated values
DOS at the Fermi energy   0.32 states/eV/atom
ΔE_f (raw)   350 meV/atom
Volume   95 Å³ per cell
Total magnetic moment   5.05 μB per formula unit
E_tot   -26.24 eV for the cell shown
Symmetry   No. 123

=====

Entry from Alexandria: crystalline RbTc2PIr at its relaxed geometry (PBE).

Unit cell a=4.629 b=4.547 c=4.629 alpha=90.00 beta=90.00 gamma=90.00
Site moments in Bohr magnetons follow the coordinates.
Atoms (fractional coordinates):
1 Ir 0.000 0.500 0.000  -0.01
2 Tc 0.000 0.000 0.500  1.14
3 Tc 0.500 0.000 0.000  1.11
4 Rb 0.500 0.500 0.500  0.03
5 P 0.000 0.000 0.000  -0.04

Calculated values
DOS at the Fermi energy   0.75 states/eV/atom
ΔH_f (0 K)   0.88 eV/atom
Volume   97 Å³ per cell
Total magnetic moment   2.53 μB per formula unit
E_tot   -31.55 eV for the cell shown
Symmetry   No. 123

=====

Entry from Alexandria: crystalline YBe3Se at its relaxed geometry (PBE).

Unit cell a=5.096 b=5.096 c=5.096 alpha=90.00 beta=90.00 gamma=90.00
Atoms (fractional coordinates):
1 Be 0.500 0.000 0.000
2 Y 0.000 0.000 0.000
3 Be 0.000 0.500 0.000
4 Se 0.500 0.500 0.500
5 Be 0.000 0.000 0.500

Calculated values
DOS at the Fermi energy   1.09 states/eV/atom
ΔE_f (raw)   1869 meV/atom
Volume   132 Å³ per cell
Total magnetic moment   0.00 μB per formula unit
E_tot   -11.78 eV for the cell shown
Symmetry   No. 221